Record 1
Material: Pr2Nd2Tm3
Method: DFT, PBE
State: relaxed

Output
* DFT total energy: -4.4639 eV/atom
* polymorph energy (0 for the lowest one): 62 meV/atom
* DOS(E_F): 1.65 states/eV per atom
* symmetry: P2_1/c
* formation energy from the elements: 1.26 eV per formula unit
* density: 7538 kg/m³

a = 6.4259 Å, b = 11.6161 Å, c = 6.3932 Å
α = 90.00°, β = 83.91°, γ = 90.00°
Element x y z (fractional)
Nd1 0.7175 0.2211 0.1060
Nd2 0.2825 0.7789 0.8940
Pr1 0.5397 0.3483 0.5421
Pr2 0.0397 0.1517 0.5421
Tm1 0.5000 0.5000 0.0000
Pr3 0.9603 0.8483 0.4579
Tm2 0.4583 0.9603 0.2562
Tm3 0.9583 0.5397 0.2562
Tm4 0.0000 0.0000 0.0000
Nd3 0.2175 0.2789 0.1060
Pr4 0.4603 0.6517 0.4579
Tm5 0.5417 0.0397 0.7438
Tm6 0.0417 0.4603 0.7438
Nd4 0.7825 0.7211 0.8940


Record 2
Material: Pm5PrHo2Er
Method: DFT, PBE
State: relaxed

Output
* DFT total energy: -4.5434 eV/atom
* DOS(E_F): 1.59 states/eV per atom
* symmetry: Cmc2_1
* formation energy from the elements: 1.36 eV per formula unit
* density: 7380 kg/m³

a = 5.6924 Å, b = 10.5281 Å, c = 10.6302 Å
α = 90.00°, β = 90.00°, γ = 105.68°
Element x y z (fractional)
Pm1 0.2973 0.5946 0.7078
Ho1 0.1135 0.2270 0.7342
Pm2 0.7200 0.4400 0.8141
Pm3 0.2800 0.5600 0.3141
Pm4 0.6144 0.2289 0.5228
Pm5 0.4798 0.9596 0.7409
Pr1 0.4131 0.8262 0.4536
Ho2 0.8843 0.7687 0.8179
Pm6 0.7027 0.4054 0.2078
Pr2 0.5869 0.1738 0.9536
Pm7 0.3856 0.7711 0.0228
Ho3 0.1157 0.2313 0.3179
Er1 0.8009 0.6019 0.5116
Er2 0.1991 0.3981 0.0116
Ho4 0.8865 0.7730 0.2342
Pm8 0.0171 0.0342 0.0211
Pm9 0.9829 0.9658 0.5211
Pm10 0.5202 0.0404 0.2409


Record 3
Material: KTl14Cd
Method: DFT, PBE
State: relaxed

Output
* DFT total energy: -2.1982 eV/atom
* DOS(E_F): 0.56 states/eV per atom
* symmetry: Amm2
* formation energy from the elements: -0.03 eV per formula unit
* density: 10090 kg/m³

a = 6.8986 Å, b = 6.8986 Å, c = 11.0322 Å
α = 90.00°, β = 90.00°, γ = 109.19°
Element x y z (fractional)
Tl1 0.6711 0.3289 0.0000
Tl2 0.1361 0.8639 0.0000
Tl3 0.0464 0.3776 0.5000
Tl4 0.8524 0.5908 0.7517
K1 0.1063 0.8937 0.5000
Tl5 0.6224 0.8222 0.0000
Tl6 0.8970 0.1030 0.2355
Tl7 0.6224 0.9536 0.5000
Tl8 0.8970 0.1030 0.7645
Tl9 0.8524 0.5908 0.2483
Tl10 0.4092 0.1476 0.7517
Tl11 0.3659 0.6341 0.7334
Tl12 0.1778 0.3776 0.0000
Tl13 0.3659 0.6341 0.2666
Cd1 0.5685 0.4315 0.5000
Tl14 0.4092 0.1476 0.2483


Record 4
Material: PaInGaCl6
Method: DFT, PBE
State: relaxed

Output
* DFT total energy: -4.3486 eV/atom
* raw formation energy: -1.42 eV/atom
* DOS(E_F): 0.03 states/eV per atom
* symmetry: P-31c
* density: 3254 kg/m³

a = 7.5239 Å, b = 7.5239 Å, c = 13.0786 Å
α = 90.00°, β = 90.00°, γ = 120.00°
Element x y z (fractional)
Cl1 0.3798 0.0359 0.1354
Cl2 0.3440 0.9641 0.6354
Cl3 0.0359 0.6560 0.8646
Cl4 0.3798 0.3440 0.3646
Pa1 0.6667 0.3333 0.2500
In1 0.0000 0.0000 0.5000
Cl5 0.6202 0.9641 0.8646
Cl6 0.3440 0.3798 0.8646
Cl7 0.6560 0.0359 0.3646
Ga1 0.3333 0.6667 0.2500
Cl8 0.0359 0.3798 0.6354
Cl9 0.9641 0.3440 0.1354
In2 0.0000 0.0000 0.0000
Ga2 0.6667 0.3333 0.7500
Cl10 0.9641 0.6202 0.3646
Cl11 0.6202 0.6560 0.6354
Pa2 0.3333 0.6667 0.7500
Cl12 0.6560 0.6202 0.1354


Record 5
Material: NaZnFeP
Method: DFT, PBE
State: relaxed

Output
* DFT total energy: -4.4044 eV/atom
* DOS(E_F): 0.72 states/eV per atom
* symmetry: P4/nmm
* formation energy from the elements: -1.15 eV per formula unit
* density: 3923 kg/m³

a = 3.7275 Å, b = 3.7275 Å, c = 10.6771 Å
α = 90.00°, β = 90.00°, γ = 90.00°
Element x y z (fractional)
Fe1 0.2500 0.7500 0.0000
P1 0.7500 0.7500 0.8925
Na1 0.2500 0.2500 0.7555
Zn1 0.2500 0.7500 0.5000
Fe2 0.7500 0.2500 0.0000
P2 0.2500 0.2500 0.1075
Na2 0.7500 0.7500 0.2445
Zn2 0.7500 0.2500 0.5000


Record 6
Material: YCdN3
Method: DFT, PBE
State: relaxed

Output
* DFT total energy: -5.2398 eV/atom
* raw formation energy: 1.23 eV/atom
* DOS(E_F): 0.46 states/eV per atom
* symmetry: Pm-3m
* density: 4597 kg/m³

a = 4.4461 Å, b = 4.4461 Å, c = 4.4461 Å
α = 90.00°, β = 90.00°, γ = 90.00°
Element x y z (fractional)
N1 0.0000 0.5000 0.0000
Y1 0.0000 0.0000 0.0000
N2 0.5000 0.0000 0.0000
N3 0.0000 0.0000 0.5000
Cd1 0.5000 0.5000 0.5000


Number 1: volume 33.9 Å³ per atom. Number 2: volume 34.1 Å³ per atom. Number 3: volume 31.0 Å³ per atom. Number 4: volume 35.6 Å³ per atom. Number 5: volume 18.5 Å³ per atom. Number 6: volume 17.6 Å³ per atom.